# CdCuP2Cl (GGA-PBE, optimized geometry)
# * offset from the most stable computed form: 597 meV per atom
# * Fermi-level density of states: 0.54 states/eV per atom
# * M_tot: 1.67 μB/cell
# * raw formation energy: 1.09 eV/atom
data_CdCuP2Cl
_cell_length_a 5.0037
_cell_length_b 5.0037
_cell_length_c 5.2694
_cell_angle_alpha 90.00
_cell_angle_beta 90.00
_cell_angle_gamma 90.00
_symmetry_space_group_name_H-M 'P 4/m m m'
_symmetry_Int_Tables_number 123
_symmetry_space_group_name_Hall '-P 4 2'
loop_
_atom_site_label
_atom_site_fract_x
_atom_site_fract_y
_atom_site_fract_z
Cd1 0.0000 0.0000 0.0000
Cu1 0.5000 0.5000 0.5000
P1 0.0000 0.5000 0.0000
Cl1 0.0000 0.0000 0.5000

# CdCuP2Cl (GGA-PBE, optimized geometry)
# * offset from the most stable computed form: 0 meV per atom
# * Fermi-level density of states: 0.53 states/eV per atom
# * M_tot: 1.41 μB/cell
# * raw formation energy: 0.50 eV/atom
data_CdCuP2Cl
_cell_length_a 4.4422
_cell_length_b 4.4422
_cell_length_c 5.3396
_cell_angle_alpha 90.00
_cell_angle_beta 90.00
_cell_angle_gamma 90.00
_symmetry_space_group_name_H-M 'P 4/m m m'
_symmetry_Int_Tables_number 123
_symmetry_space_group_name_Hall '-P 4 2'
loop_
_atom_site_label
_atom_site_fract_x
_atom_site_fract_y
_atom_site_fract_z
Cd1 0.0000 0.0000 0.0000
Cu1 0.5000 0.5000 0.5000
P1 0.0000 0.5000 0.5000
Cl1 0.5000 0.5000 0.0000

# CdCuPCl2 (GGA-PBE, optimized geometry)
# * offset from the most stable computed form: 375 meV per atom
# * Fermi-level density of states: 0.37 states/eV per atom
# * M_tot: 1.86 μB/cell
# * raw formation energy: 0.51 eV/atom
data_CdCuPCl2
_cell_length_a 5.2094
_cell_length_b 5.2094
_cell_length_c 5.1561
_cell_angle_alpha 90.00
_cell_angle_beta 90.00
_cell_angle_gamma 90.00
_symmetry_space_group_name_H-M 'P 4/m m m'
_symmetry_Int_Tables_number 123
_symmetry_space_group_name_Hall '-P 4 2'
loop_
_atom_site_label
_atom_site_fract_x
_atom_site_fract_y
_atom_site_fract_z
Cd1 0.0000 0.0000 0.0000
Cu1 0.5000 0.5000 0.5000
P1 0.0000 0.0000 0.5000
Cl1 0.0000 0.5000 0.0000